LiAcSmCo | PBE | relaxed

Summary:
- space-group type = F-43m
- ΔE_f (meV per atom) = 103

Cell and atoms, written as POSCAR:
```
LiAcSmCo
1.0
5.156 0.000 0.000
2.578 4.466 0.000
2.578 1.489 4.210
Ac Co Sm Li
1 1 1 1
Direct
0.750 0.750 0.750 Ac
0.500 0.500 0.500 Co
0.250 0.250 0.250 Sm
0.000 0.000 0.000 Li
```



TlMo2Os | PBE | relaxed

Summary:
- space-group type = Cmmm
- energy above the most stable polymorph in this dataset (eV per formula unit) = 1.16
- ΔE_f (meV per atom) = 672

Cell and atoms, written as POSCAR:
```
TlMo2Os
1.0
4.990 0.003 -0.008
-1.932 4.601 -0.008
0.006 0.008 2.917
Mo Os Tl
2 1 1
Direct
0.000 0.000 0.000 Mo
0.500 0.500 0.000 Mo
0.500 0.000 0.500 Os
0.000 0.500 0.500 Tl
```



Calculated volume values (in Å³/atom) by entry order: 24.24 16.74.